VASP calculation (GGA-PBE) on a relaxed structure of LaPrMgZn.

abc: 3.7984 3.7984 7.8441
angles: 90.00 90.00 90.00
Space group P4mm (No. 99)
Unique sites:
1 La 0.0000 0.0000 0.0000 x1
2 Pr 0.0000 0.0000 0.4524 x1
3 Mg 0.5000 0.5000 0.7217 x1
4 Zn 0.5000 0.5000 0.2313 x1

Values from the calculation:
ΔE to the lowest computed polymorph: 0.000 eV/atom
Raw total energy: -3.35 eV/atom
Calculated formation energy: -4.9 kcal/mol of atoms
Total magnetic moment: 0.0 μB/f.u.

VASP calculation (GGA-PBE) on a relaxed structure of La2Pr5MgZn2.

abc: 12.8076 12.8076 3.9041
angles: 90.00 90.00 90.00
Space group P4/mbm (No. 127)
Unique sites:
1 La 0.1817 0.3183 0.0000 x4
2 Pr 0.0000 0.5000 0.5000 x2
3 Pr 0.0525 0.7972 0.5000 x8
4 Mg 0.0000 0.0000 0.0000 x2
5 Zn 0.1294 0.6294 0.0000 x4

Values from the calculation:
Raw total energy: -3.89 eV/atom
Calculated formation energy: -2.3 kcal/mol of atoms
Total magnetic moment: 0.0 μB/f.u.

VASP calculation (GGA-PBE) on a relaxed structure of LaPrMgZn.

abc: 7.6587 7.6587 7.6587
angles: 90.00 90.00 90.00
Space group F-43m (No. 216)
Unique sites:
1 La 0.0000 0.0000 0.0000 x4
2 Pr 0.0000 0.0000 0.5000 x4
3 Mg 0.2500 0.2500 0.7500 x4
4 Zn 0.2500 0.2500 0.2500 x4

Values from the calculation:
ΔE to the lowest computed polymorph: 0.027 eV/atom
Raw total energy: -3.33 eV/atom
Calculated formation energy: -4.2 kcal/mol of atoms
Total magnetic moment: 0.0 μB/f.u.

VASP calculation (GGA-PBE) on a relaxed structure of LaPrMgZr.

abc: 7.7955 7.7955 7.7955
angles: 90.00 90.00 90.00
Space group F-43m (No. 216)
Unique sites:
1 La 0.0000 0.0000 0.0000 x4
2 Pr 0.0000 0.0000 0.5000 x4
3 Mg 0.2500 0.2500 0.2500 x4
4 Zr 0.2500 0.2500 0.7500 x4

Values from the calculation:
Raw total energy: -4.84 eV/atom
Calculated formation energy: 2.9 kcal/mol of atoms
Total magnetic moment: 1.5 μB/f.u.

VASP calculation (GGA-PBE) on a relaxed structure of LaMg2Pt2.

abc: 4.1291 4.1291 12.5661
angles: 90.00 90.00 90.00
Space group I4/mmm (No. 139)
Unique sites:
1 La 0.0000 0.0000 0.0000 x2
2 Mg 0.0000 0.5000 0.2500 x4
3 Pt 0.0000 0.0000 0.3904 x4

Values from the calculation:
ΔE to the lowest computed polymorph: 0.000 eV/atom
Raw total energy: -4.97 eV/atom
Calculated formation energy: -21.4 kcal/mol of atoms
Total magnetic moment: 0.0 μB/f.u.

VASP calculation (GGA-PBE) on a relaxed structure of LaMgPt.

abc: 7.6208 4.2553 13.0883
angles: 90.00 90.02 90.00
Space group P2_1/m (No. 11)
Unique sites:
1 La 0.0406 0.2500 0.3752 x2
2 La 0.1616 0.2500 0.0826 x2
3 La 0.4529 0.7500 0.7132 x2
4 Mg 0.1307 0.2500 0.8000 x2
5 Mg 0.3673 0.7500 0.4601 x2
6 Mg 0.4963 0.2500 0.9170 x2
7 Pt 0.2469 0.7500 0.2486 x2
8 Pt 0.2549 0.2500 0.5810 x2
9 Pt 0.2558 0.7500 0.9162 x2

Values from the calculation:
Raw total energy: -5.11 eV/atom
Calculated formation energy: -21.2 kcal/mol of atoms
Total magnetic moment: 0.0 μB/f.u.